The following is a DFT calculation (PBEsol) of an optimized crystal structure of Ca2MgHg2. Values from VASP.

```
&SYSTEM
  ibrav = 0, nat = 10, ntyp = 3
/
ATOMIC_SPECIES
Mg 24.30 Mg.upf
Ca 40.08 Ca.upf
Hg 200.59 Hg.upf
ATOMIC_POSITIONS crystal
Mg 0.000 0.000 0.000
Mg 0.000 0.500 0.500
Ca 0.500 0.165 0.665
Ca 0.500 0.665 0.835
Ca 0.500 0.835 0.335
Ca 0.500 0.335 0.165
Hg 0.000 0.363 0.863
Hg 0.000 0.863 0.637
Hg 0.000 0.637 0.137
Hg 0.000 0.137 0.363
CELL_PARAMETERS angstrom
-0.073 1.030 -3.987
-7.924 1.241 0.465
1.318 7.680 1.960
```

For the formation energy from the elements, the calculation gives -481 meV/atom. For the size of the total moment, the calculation gives 0.000 μB per atom.